Record 1
Density functional theory data (GGA-PBE) for a geometry-optimized CaAgSeO4 structure.

Calculated values
crystal system = orthorhombic
theoretical density = 4.96 g/cm3
uncorrected formation energy = -1145 meV/atom
V = 13.91 Å³ per atom

abc: 5.9761 7.1461 9.1222
angles: 90.00 90.00 90.00
With the nearest neighbours (Å) after each atom.
Space group Imma (No. 74)
Inequivalent atoms, fractional coordinates:
Ca (0.0000, 0.0000, 0.0000) [4 per cell]  6 O 2.42
Ag (0.2500, 0.2500, 0.2500) [4 per cell]  6 O 2.38-2.58
Se (0.0000, 0.2500, 0.6520) [4 per cell]  4 O 1.76-1.89
O (0.0000, 0.0076, 0.7346) [8 per cell]  1 Se 1.89
O (0.2301, 0.2500, 0.5320) [8 per cell]  1 Se 1.76


Record 2
Density functional theory data (GGA-PBE) for a geometry-optimized LiMgI2O structure.

Calculated values
crystal system = tetragonal
theoretical density = 3.71 g/cm3
uncorrected formation energy = -900 meV/atom
V = 26.94 Å³ per atom
relative energy among the computed polymorphs = 0 meV/atom

abc: 6.0036 6.0036 3.7374
angles: 90.00 90.00 90.00
With the nearest neighbours (Å) after each atom.
Space group P4/mmm (No. 123)
Inequivalent atoms, fractional coordinates:
Li (0.0000, 0.0000, 0.0000) [1 per cell]  8 I 3.54, 2 Li 3.74
Mg (0.5000, 0.5000, 0.5000) [1 per cell]  2 O 1.87
I (0.0000, 0.5000, 0.5000) [2 per cell]  2 Mg 3.00
O (0.5000, 0.5000, 0.0000) [1 per cell]  2 Mg 1.87


Record 3
Density functional theory data (GGA-PBE) for a geometry-optimized Pr2NdScSb4 structure.

Calculated values
crystal system = monoclinic
theoretical density = 6.34 g/cm3
uncorrected formation energy = -1097 meV/atom
V = 31.35 Å³ per atom

abc: 7.7173 4.4662 7.7218
angles: 90.00 109.53 90.00
With the nearest neighbours (Å) after each atom.
Space group P2/m (No. 10)
Inequivalent atoms, fractional coordinates:
Pr (0.0000, 0.0000, 0.0000) [1 per cell]  6 Sb 3.16
Pr (0.0000, 0.5000, 0.5000) [1 per cell]  6 Sb 3.26
Nd (0.5000, 0.0000, 0.5000) [1 per cell]  6 Sb 3.15
Sc (0.5000, 0.5000, 0.0000) [1 per cell]  6 Sb 3.05
Sb (0.2598, 0.5000, 0.2429) [2 per cell]  1 Sc 3.05, 2 Nd 3.15, 3 Pr 3.16-3.26
Sb (0.2676, 0.0000, 0.7662) [2 per cell]  2 Sc 3.05, 1 Nd 3.15, 3 Pr 3.16-3.26


Record 4
Density functional theory data (GGA-PBE) for a geometry-optimized TiSn3Ru4 structure.

Calculated values
crystal system = tetragonal
theoretical density = 10.34 g/cm3
V = 16.23 Å³ per atom
energy of formation = -7.2 kcal/mol of atoms

abc: 4.5110 4.5110 12.7591
angles: 90.00 90.00 90.00
With the nearest neighbours (Å) after each atom.
Space group I4/mmm (No. 139)
Inequivalent atoms, fractional coordinates:
Ti (0.0000, 0.0000, 0.0000) [2 per cell]  8 Ru 2.75
Sn (0.0000, 0.0000, 0.2464) [4 per cell]  8 Ru 2.75-2.81
Sn (0.0000, 0.0000, 0.5000) [2 per cell]  8 Ru 2.75
Ru (0.0000, 0.5000, 0.1228) [8 per cell]  6 Sn 2.75-2.81, 2 Ti 2.75


Record 5
Density functional theory data (GGA-PBE) for a geometry-optimized KCo2Sb structure.

Calculated values
crystal system = cubic
theoretical density = 5.97 g/cm3
uncorrected formation energy = 908 meV/atom
V = 19.37 Å³ per atom
relative energy among the computed polymorphs = 807 meV/atom

abc: 6.7669 6.7669 6.7669
angles: 90.00 90.00 90.00
With the nearest neighbours (Å) after each atom.
Space group F-43m (No. 216)
Inequivalent atoms, fractional coordinates:
K (0.0000, 0.0000, 0.0000) [4 per cell]  4 Co 2.93, 4 Sb 2.93
Co (0.0000, 0.0000, 0.5000) [4 per cell]  4 Sb 2.93, 4 Co 2.93
Co (0.2500, 0.2500, 0.2500) [4 per cell]  4 Co 2.93, 4 K 2.93
Sb (0.2500, 0.2500, 0.7500) [4 per cell]  4 K 2.93, 4 Co 2.93


Record 6
Density functional theory data (GGA-PBE) for a geometry-optimized TeIr2Rh structure.

Calculated values
crystal system = orthorhombic
theoretical density = 15.64 g/cm3
uncorrected formation energy = 328 meV/atom
V = 16.33 Å³ per atom

abc: 5.5593 7.7073 3.0484
angles: 90.00 90.00 90.00
With the nearest neighbours (Å) after each atom.
Space group Cmmm (No. 65)
Inequivalent atoms, fractional coordinates:
Te (0.0000, 0.0000, 0.0000) [2 per cell]  2 Rh 2.78, 8 Ir 2.82, 2 Te 3.05
Ir (0.2500, 0.2500, 0.5000) [4 per cell]  4 Ir 2.78-3.05, 4 Rh 2.82, 4 Te 2.82
Rh (0.0000, 0.5000, 0.0000) [2 per cell]  2 Te 2.78, 8 Ir 2.82, 2 Rh 3.05